VASP calculation (GGA+U) on a geometry-optimized RbTmW2O8 structure.

CIF file:
```
data_RbTmW2O8
_chemical_formula_sum 'Rb4 Tm4 W8 O32'
_cell_length_a 11.0401
_cell_length_b 10.6028
_cell_length_c 7.4694
_cell_angle_alpha 90.00
_cell_angle_beta 130.53
_cell_angle_gamma 90.00
_symmetry_space_group_name_H-M 'C 1 2/c 1'
_symmetry_Int_Tables_number 15
loop_
_symmetry_equiv_pos_as_xyz
'x,y,z'
'-x,-y,-z'
'-x,y,-z+1/2'
'x,-y,z+1/2'
'x+1/2,y+1/2,z'
'-x+1/2,-y+1/2,-z'
'-x+1/2,y+1/2,-z+1/2'
'x+1/2,-y+1/2,z+1/2'
loop_
_atom_site_label
_atom_site_type_symbol
_atom_site_fract_x
_atom_site_fract_y
_atom_site_fract_z
Rb1 Rb 0.0000 0.2041 0.2500
Tm1 Tm 0.0000 0.2229 0.7500
W1 W 0.1953 0.4957 0.7110
O1 O 0.0129 0.3884 0.9576
O2 O 0.1410 0.0992 0.7037
O3 O 0.1871 0.4361 0.4390
O4 O 0.2000 0.1492 0.1167
```

**Energy**: -7.39 eV per atom
**Total magnetization**: 0.00 μB per cell
**Fermi-level density of states**: 0.00 states/eV/f.u.